A plane-wave DFT calculation with PBE-GGA was carried out for MgRh3Br after structural relaxation.

Cell: 4.603 4.603 4.603 Å, 90.00 90.00 90.00°
Fractional coordinates of all 5 atoms:
Mg  0.500  0.500  0.500
Rh  0.000  0.500  0.000
Rh  0.000  0.000  0.500
Rh  0.500  0.000  0.000
Br  0.000  0.000  0.000

Properties
* formation energy without anion corrections: 0.64 eV/atom
* V: 19.50 Å³ per atom
* total magnetization: 0.00 Bohr magnetons per cell